# 1
Ta2Ga2CuNi7 after structural relaxation. Source: Alexandria via LeMat-Bulk, functional PBE-GGA.

a b c (Å): 3.3057 3.3057 14.8524
angles (deg): 83.60 83.60 90.00
Positions (direct):
Ta (0.6333, 0.6333, 0.7346)
Ta (0.3667, 0.3667, 0.2654)
Ga (0.8095, 0.8095, 0.3802)
Ga (0.1905, 0.1905, 0.6198)
Cu (0.0000, 0.0000, 0.0000)
Ni (0.5000, 0.5000, 0.0000)
Ni (0.2741, 0.2741, 0.4515)
Ni (0.7259, 0.7259, 0.5485)
Ni (0.9334, 0.4335, 0.1323)
Ni (0.4335, 0.9334, 0.1323)
Ni (0.5665, 0.0666, 0.8677)
Ni (0.0666, 0.5665, 0.8677)

## Properties
- Symmetry: I4/mmm, No. 139



# 2
TbGa3CuNi after structural relaxation. Source: Alexandria via LeMat-Bulk, functional PBE-GGA.

a b c (Å): 5.7932 6.2228 6.6362
angles (deg): 117.96 90.00 90.00
Positions (direct):
Tb (0.7500, 0.2822, 0.5645)
Tb (0.2500, 0.7178, 0.4355)
Ga (0.2500, 0.1636, 0.3272)
Ga (0.0000, 0.2957, 0.0000)
Ga (0.5000, 0.7043, 0.0000)
Ga (0.5000, 0.2957, 0.0000)
Ga (0.0000, 0.7043, 0.0000)
Ga (0.7500, 0.8364, 0.6728)
Cu (0.2500, 0.9499, 0.8998)
Cu (0.7500, 0.0501, 0.1002)
Ni (0.2500, 0.3654, 0.7308)
Ni (0.7500, 0.6346, 0.2692)

## Properties
- Symmetry: Cmcm, No. 63



# 3
TbGaCuNi after structural relaxation. Source: Alexandria via LeMat-Bulk, functional PBE-GGA.

a b c (Å): 4.2148 4.2202 5.1219
angles (deg): 114.27 90.00 119.96
Positions (direct):
Tb (0.6135, 0.2271, 0.4833)
Ga (0.1277, 0.2554, 0.0253)
Cu (0.4079, 0.8157, 0.8658)
Ni (0.8172, 0.6344, 0.0929)

## Properties
- Symmetry: R3m, No. 160



# 4
TbGa2CuNi2 after structural relaxation. Source: Alexandria via LeMat-Bulk, functional PBE-GGA.

a b c (Å): 4.4396 4.4396 5.2734
angles (deg): 90.00 90.00 90.00
Positions (direct):
Tb (0.0000, 0.0000, 0.5000)
Ga (0.5000, 0.0000, 0.0000)
Ga (0.0000, 0.5000, 0.0000)
Cu (0.0000, 0.0000, 0.0000)
Ni (0.5000, 0.5000, 0.7375)
Ni (0.5000, 0.5000, 0.2625)

## Properties
- Symmetry: P4/mmm, No. 123



# 5
Tb2Ga4Cu3Ni after structural relaxation. Source: Alexandria via LeMat-Bulk, functional PBE-GGA.

a b c (Å): 4.1157 4.1157 10.1106
angles (deg): 90.00 90.00 90.00
Positions (direct):
Tb (0.5000, 0.0000, 0.2567)
Tb (0.0000, 0.5000, 0.7433)
Ga (0.5000, 0.5000, 0.0000)
Ga (0.0000, 0.0000, 0.0000)
Ga (0.5000, 0.0000, 0.6250)
Ga (0.0000, 0.5000, 0.3750)
Cu (0.0000, 0.0000, 0.5000)
Cu (0.5000, 0.0000, 0.8624)
Cu (0.0000, 0.5000, 0.1376)
Ni (0.5000, 0.5000, 0.5000)

## Properties
- Symmetry: P-4m2, No. 115



# 6
Tb2Ga4CuNi3 after structural relaxation. Source: Alexandria via LeMat-Bulk, functional PBE-GGA.

a b c (Å): 4.0032 4.0032 10.4004
angles (deg): 90.00 90.00 90.00
Positions (direct):
Tb (0.5000, 0.0000, 0.2423)
Tb (0.0000, 0.5000, 0.7577)
Ga (0.5000, 0.5000, 0.0000)
Ga (0.0000, 0.0000, 0.0000)
Ga (0.5000, 0.0000, 0.6347)
Ga (0.0000, 0.5000, 0.3653)
Cu (0.5000, 0.5000, 0.5000)
Ni (0.0000, 0.0000, 0.5000)
Ni (0.5000, 0.0000, 0.8644)
Ni (0.0000, 0.5000, 0.1356)

## Properties
- Symmetry: P-4m2, No. 115



# 7
TbGaCuNi after structural relaxation. Source: Alexandria via LeMat-Bulk, functional PBE-GGA.

a b c (Å): 4.5253 4.5253 4.5253
angles (deg): 60.00 60.00 60.00
Positions (direct):
Ni (0.7500, 0.7500, 0.7500)
Tb (0.0000, 0.0000, 0.0000)
Cu (0.2500, 0.2500, 0.2500)
Ga (0.5000, 0.5000, 0.5000)

## Properties
- Symmetry: F-43m, No. 216



# 8
TbGa2CuNi5 after structural relaxation. Source: Alexandria via LeMat-Bulk, functional PBE-GGA.

a b c (Å): 3.7332 3.7332 9.3460
angles (deg): 90.00 90.00 90.00
Positions (direct):
Tb (0.0000, 0.0000, 0.5000)
Ga (0.5000, 0.5000, 0.1297)
Ga (0.5000, 0.5000, 0.8703)
Cu (0.0000, 0.0000, 0.0000)
Ni (0.0000, 0.5000, 0.2828)
Ni (0.5000, 0.0000, 0.2828)
Ni (0.0000, 0.5000, 0.7172)
Ni (0.5000, 0.0000, 0.7172)
Ni (0.5000, 0.5000, 0.5000)

## Properties
- Symmetry: P4/mmm, No. 123



# 9
Tb2Ga3Cu4Ni after structural relaxation. Source: Alexandria via LeMat-Bulk, functional PBE-GGA.

a b c (Å): 3.9474 3.9474 10.7808
angles (deg): 90.00 90.00 90.00
Positions (direct):
Tb (0.5000, 0.0000, 0.2598)
Tb (0.0000, 0.5000, 0.7402)
Ga (0.0000, 0.0000, 0.5000)
Ga (0.5000, 0.0000, 0.8631)
Ga (0.0000, 0.5000, 0.1369)
Cu (0.5000, 0.5000, 0.0000)
Cu (0.0000, 0.0000, 0.0000)
Cu (0.5000, 0.0000, 0.6384)
Cu (0.0000, 0.5000, 0.3616)
Ni (0.5000, 0.5000, 0.5000)

## Properties
- Symmetry: P-4m2, No. 115



# 10
Tb2Ga3CuNi12 after structural relaxation. Source: Alexandria via LeMat-Bulk, functional PBE-GGA.

a b c (Å): 9.1432 9.1432 9.1432
angles (deg): 38.58 38.58 38.58
Positions (direct):
Tb (0.6526, 0.6526, 0.6526)
Tb (0.3474, 0.3474, 0.3474)
Ga (0.5000, 0.0000, 0.0000)
Ga (0.0000, 0.5000, 0.0000)
Ga (0.0000, 0.0000, 0.5000)
Cu (0.0000, 0.0000, 0.0000)
Ni (0.4196, 0.4196, 0.8106)
Ni (0.9266, 0.9266, 0.3557)
Ni (0.3557, 0.9266, 0.9266)
Ni (0.8106, 0.4196, 0.4196)
Ni (0.9266, 0.3557, 0.9266)
Ni (0.4196, 0.8106, 0.4196)
Ni (0.5804, 0.5804, 0.1894)
Ni (0.0734, 0.0734, 0.6443)
Ni (0.6443, 0.0734, 0.0734)
Ni (0.1894, 0.5804, 0.5804)
Ni (0.0734, 0.6443, 0.0734)
Ni (0.5804, 0.1894, 0.5804)

## Properties
- Symmetry: R-3m, No. 166



# 11
TbGa4CuNi2 after structural relaxation. Source: Alexandria via LeMat-Bulk, functional PBE-GGA.

a b c (Å): 4.1165 4.1165 8.9109
angles (deg): 76.65 76.65 60.00
Positions (direct):
Tb (0.0000, 0.0000, 0.0000)
Ga (0.4015, 0.4015, 0.7956)
Ga (0.8712, 0.8712, 0.3863)
Ga (0.1288, 0.1288, 0.6137)
Ga (0.5985, 0.5985, 0.2044)
Cu (0.5000, 0.5000, 0.5000)
Ni (0.7662, 0.7662, 0.7014)
Ni (0.2338, 0.2338, 0.2986)

## Properties
- Symmetry: R-3m, No. 166



# 12
GaCuTcNi after structural relaxation. Source: Alexandria via LeMat-Bulk, functional PBE-GGA.

a b c (Å): 4.2058 4.2058 4.2058
angles (deg): 60.00 60.00 60.00
Site moments in Bohr magnetons follow the coordinates.
Positions (direct):
Ni (0.2500, 0.2500, 0.2500)  0.68
Cu (0.0000, 0.0000, 0.0000)  0.05
Tc (0.5000, 0.5000, 0.5000)  1.26
Ga (0.7500, 0.7500, 0.7500)  0.02

## Properties
- Symmetry: F-43m, No. 216



Quick rundown of electronic total energy, same order as above: -6.157; -4.172; -4.821; -4.402; -4.410; -4.823; -4.727; -4.921; -4.413; -5.079; -4.447; -5.779 eV per atom
Quick rundown of V, same order as above: 160; 211; 69; 104; 171; 167; 66; 130; 168; 267; 126; 53 Å³/cell